# Zr3RhS (GGA-PBE, relaxed)
data_Zr3RhS
_space_group_name_H-M_alt 'P m -3 m'
_space_group_IT_number 221
_space_group_name_Hall '-P 4 2 3'
_cell_length_a 4.7433
_cell_length_b 4.7433
_cell_length_c 4.7433
_cell_angle_alpha 90.00
_cell_angle_beta 90.00
_cell_angle_gamma 90.00
loop_
_atom_site_label
_atom_site_fract_x
_atom_site_fract_y
_atom_site_fract_z
_atom_site_occupancy
Zr1 0.0000 0.0000 0.5000 1
Rh1 0.5000 0.5000 0.5000 1
S1 0.0000 0.0000 0.0000 1
# - E_tot (eV/atom) = -7.8052
# - V (Å³ per cell) = 106.7